{
  "formula": "CeTl2InBr6",
  "functional": "PBE-GGA",
  "state": "optimized geometry",
  "raw_formation_energy_ev_per_atom": -1.2120,
  "dos_ef_per_ev_cell": 16.25,
  "cell": [[-2.7045, -2.3608, 7.0176], [7.1588, -4.7181, 1.1716], [4.8397, 8.7370, 5.6127]],
  "species": ["Ce", "Ce", "Tl", "Tl", "Tl", "Tl", "In", "In", "Br", "Br", "Br", "Br", "Br", "Br", "Br", "Br", "Br", "Br", "Br", "Br"],
  "frac_coords": [[0.5000, 0.0000, 0.5000], [0.0000, 0.5000, 0.0000], [0.0306, 0.9192, 0.2693], [0.5306, 0.5808, 0.7693], [0.9694, 0.0808, 0.7307], [0.4694, 0.4192, 0.2307], [0.5000, 0.0000, 0.0000], [0.0000, 0.5000, 0.5000], [0.3073, 0.6714, 0.0491], [0.8073, 0.8286, 0.5491], [0.6927, 0.3286, 0.9509], [0.1927, 0.1714, 0.4509], [0.3360, 0.7187, 0.4188], [0.8360, 0.7813, 0.9188], [0.6640, 0.2813, 0.5812], [0.1640, 0.2187, 0.0812], [0.8578, 0.5624, 0.2375], [0.3578, 0.9376, 0.7375], [0.1422, 0.4376, 0.7625], [0.6422, 0.0624, 0.2625]]
}